Tm2MnGa5 after structural relaxation, computed with PBE-GGA.

a b c (Å): 5.8964 5.8964 5.8964
angles (deg): 95.79 116.72 116.72
With the nearest neighbours (Å) after each atom.
Atoms (fractional coordinates):
1 Tm 0.5000 0.2653 0.7653  10 Ga 2.96-3.10, 2 Mn 3.25
2 Tm 0.5000 0.7653 0.2653  10 Ga 2.96-3.10, 2 Mn 3.25
3 Mn 0.0000 0.8918 0.8918  5 Ga 2.65-2.73
4 Ga 0.4361 0.7338 0.7338  1 Mn 2.65, 3 Ga 2.70-2.92, 4 Tm 2.96
5 Ga 0.0000 0.7338 0.2977  1 Mn 2.65, 3 Ga 2.70-2.92, 4 Tm 2.96
6 Ga 0.0000 0.2977 0.7338  1 Mn 2.65, 3 Ga 2.70-2.92, 4 Tm 2.96
7 Ga 0.5639 0.2977 0.2977  1 Mn 2.65, 3 Ga 2.70-2.92, 4 Tm 2.96
8 Ga 0.0000 0.2368 0.2368  1 Mn 2.73, 8 Ga 2.92-3.02

Computed properties:
* DFT total energy: -36.21 eV per formula unit
* crystal system: tetragonal